The following is a GGA-PBE calculation of a relaxed Li4Pb crystal, from Alexandria via LeMat-Bulk.

Computed properties:
- formation enthalpy at 0 K (eV per atom) = 0.046
- polymorph energy (0 for the lowest one) (eV per atom) = 0.244
- symmetry = Pm-3m (221)
- uncorrected energy (eV/atom) = -2.226

Cell lengths 5.238, 5.238, 5.238 Å; angles 90.00, 90.00, 90.00 degrees
Sites, in units of the cell vectors:
Pb 0.500 0.500 0.500
Li 0.500 0.000 0.500
Li 0.000 0.500 0.500
Li 0.000 0.000 0.000
Li 0.500 0.500 0.000

---

The following is a GGA-PBE calculation of a relaxed Ga5Sn crystal, from Alexandria via LeMat-Bulk.

Computed properties:
- formation enthalpy at 0 K (eV per atom) = 0.029
- polymorph energy (0 for the lowest one) (eV per atom) = 0.004
- symmetry = C2/m (12)
- uncorrected energy (eV/atom) = -3.160

Cell lengths 4.707, 5.497, 5.969 Å; angles 115.20, 90.00, 115.35 degrees
Sites, in units of the cell vectors:
Ga 0.348 0.696 0.191
Ga 0.000 0.000 0.500
Sn 0.000 0.000 0.000
Ga 0.682 0.364 0.336
Ga 0.652 0.304 0.809
Ga 0.318 0.636 0.664